[1]
Entry from Alexandria via LeMat-Bulk: Tl3CrCu after structural relaxation (PBE).

Output
ΔH_f (0 K)	653	meV per atom
raw total energy	-17.555	eV/f.u.
total moment	4.6	μB/f.u.

Unit cell a=5.2053 b=5.2053 c=5.2053 alpha=90.00 beta=90.00 gamma=90.00
Last column: nearest neighbours and their distance in Å.
Positions (direct):
Tl (0.0000, 0.0000, 0.5000)  2 Cu 2.60
Tl (0.0000, 0.5000, 0.0000)  2 Cu 2.60
Tl (0.5000, 0.0000, 0.0000)  2 Cu 2.60
Cr (0.5000, 0.5000, 0.5000)  12 Tl 3.68
Cu (0.0000, 0.0000, 0.0000)  6 Tl 2.60


[2]
Entry from Alexandria via LeMat-Bulk: Ca4AlIn after structural relaxation (PBE).

Output
ΔH_f (0 K)	334	meV per atom
raw total energy	-12.485	eV/f.u.
total moment	0.0	μB/f.u.

Unit cell a=6.6196 b=6.6196 c=6.6196 alpha=60.00 beta=60.00 gamma=60.00
Last column: nearest neighbours and their distance in Å.
Positions (direct):
Ca (0.1251, 0.1251, 0.1251)  6 Ca 3.31
Ca (0.1251, 0.1251, 0.6246)  6 Ca 3.31
Ca (0.1251, 0.6246, 0.1251)  6 Ca 3.31
Ca (0.6246, 0.1251, 0.1251)  6 Ca 3.31
Al (0.5000, 0.5000, 0.5000)  12 Ca 3.88, 4 In 4.05
In (0.7500, 0.7500, 0.7500)  12 Ca 3.88, 4 Al 4.05


[3]
Entry from Alexandria via LeMat-Bulk: CdSe2Br after structural relaxation (PBE).

Output
formation energy (no corrections)	-0.05	eV/atom
raw total energy	-9.776	eV/f.u.
total moment	0.0	μB/f.u.

Unit cell a=3.8139 b=4.0154 c=13.7488 alpha=90.00 beta=90.00 gamma=90.00
Last column: nearest neighbours and their distance in Å.
Positions (direct):
Cd (0.0000, 0.0000, 0.0000)  4 Br 2.77
Cd (0.5000, 0.5000, 0.5000)  4 Br 2.77
Se (0.0000, 0.5000, 0.2598)  4 Se 2.78
Se (0.0000, 0.5000, 0.7402)  4 Se 2.78
Se (0.5000, 0.0000, 0.2402)  4 Se 2.78
Se (0.5000, 0.0000, 0.7598)  4 Se 2.78
Br (0.0000, 0.0000, 0.5000)  4 Cd 2.77
Br (0.5000, 0.5000, 0.0000)  4 Cd 2.77


[4]
Entry from Alexandria via LeMat-Bulk: Pa3NiGe2 after structural relaxation (PBE).

Output
ΔH_f (0 K)	-463	meV per atom
raw total energy	-46.282	eV/f.u.
total moment	0.0	μB/f.u.

Unit cell a=11.8678 b=3.9213 c=10.8350 alpha=90.00 beta=90.00 gamma=90.00
Last column: nearest neighbours and their distance in Å.
Positions (direct):
Pa (0.0511, 0.2500, 0.1071)  5 Ge 2.92-3.06, 1 Ni 2.96
Pa (0.1255, 0.7500, 0.5589)  3 Ni 2.84-3.05, 5 Ge 2.98-3.07, 2 Pa 3.17
Pa (0.2298, 0.2500, 0.7590)  2 Ni 2.88, 5 Ge 2.98-3.17, 2 Pa 3.17
Pa (0.2702, 0.7500, 0.2590)  2 Ni 2.88, 5 Ge 2.98-3.17, 2 Pa 3.17
Pa (0.3745, 0.2500, 0.0589)  3 Ni 2.84-3.05, 5 Ge 2.98-3.07, 2 Pa 3.17
Pa (0.4489, 0.7500, 0.6071)  5 Ge 2.92-3.06, 1 Ni 2.96
Pa (0.5511, 0.2500, 0.3929)  5 Ge 2.92-3.06, 1 Ni 2.96
Pa (0.6255, 0.7500, 0.9411)  3 Ni 2.84-3.05, 5 Ge 2.98-3.07, 2 Pa 3.17
Pa (0.7298, 0.2500, 0.7410)  2 Ni 2.88, 5 Ge 2.98-3.17, 2 Pa 3.17
Pa (0.7702, 0.7500, 0.2410)  2 Ni 2.88, 5 Ge 2.98-3.17, 2 Pa 3.17
Pa (0.8745, 0.2500, 0.4411)  3 Ni 2.84-3.05, 5 Ge 2.98-3.07, 2 Pa 3.17
Pa (0.9489, 0.7500, 0.8929)  5 Ge 2.92-3.06, 1 Ni 2.96
Ni (0.1228, 0.2500, 0.3687)  3 Ge 2.45-2.47
Ni (0.3772, 0.7500, 0.8687)  3 Ge 2.45-2.47
Ni (0.6228, 0.2500, 0.1313)  3 Ge 2.45-2.47
Ni (0.8772, 0.7500, 0.6313)  3 Ge 2.45-2.47
Ge (0.0151, 0.7500, 0.3024)  2 Ni 2.45
Ge (0.1948, 0.7500, 0.9782)  1 Ni 2.47
Ge (0.3052, 0.2500, 0.4782)  1 Ni 2.47
Ge (0.4849, 0.2500, 0.8024)  2 Ni 2.45
Ge (0.5151, 0.7500, 0.1976)  2 Ni 2.45
Ge (0.6948, 0.7500, 0.5218)  1 Ni 2.47
Ge (0.8052, 0.2500, 0.0218)  1 Ni 2.47
Ge (0.9849, 0.2500, 0.6976)  2 Ni 2.45


[5]
Entry from Alexandria via LeMat-Bulk: InAgP3 after structural relaxation (PBE).

Output
ΔH_f (0 K)	1051	meV per atom
raw total energy	-16.563	eV/f.u.
total moment	0.0	μB/f.u.

Unit cell a=4.8593 b=4.8593 c=4.8593 alpha=90.00 beta=90.00 gamma=90.00
Last column: nearest neighbours and their distance in Å.
Positions (direct):
In (0.0000, 0.0000, 0.0000)  12 P 3.44
Ag (0.5000, 0.5000, 0.5000)  6 P 2.43
P (0.0000, 0.5000, 0.5000)  2 Ag 2.43
P (0.5000, 0.0000, 0.5000)  2 Ag 2.43
P (0.5000, 0.5000, 0.0000)  2 Ag 2.43


[6]
Entry from Alexandria via LeMat-Bulk: KCdTc2O6 after structural relaxation (PBE).

Output
formation energy (no corrections)	-1.22	eV/atom
raw total energy	-64.735	eV/f.u.
total moment	0.8	μB/f.u.

Unit cell a=7.8373 b=7.8373 c=6.7282 alpha=102.15 beta=102.15 gamma=95.98
Last column: nearest neighbours and their distance in Å.
Positions (direct):
K (0.0929, 0.9071, 0.7500)  6 O 2.73-2.90
K (0.9071, 0.0929, 0.2500)  6 O 2.73-2.90
Cd (0.4735, 0.5265, 0.2500)  4 O 2.22-2.29
Cd (0.5265, 0.4735, 0.7500)  4 O 2.22-2.29
Tc (0.0721, 0.4354, 0.8572)  3 O 1.74-1.89
Tc (0.4354, 0.0721, 0.3572)  3 O 1.74-1.89
Tc (0.5646, 0.9279, 0.6428)  3 O 1.74-1.89
Tc (0.9279, 0.5646, 0.1428)  3 O 1.74-1.89
O (0.0166, 0.2341, 0.6714)  1 Tc 1.74
O (0.0836, 0.3955, 0.1470)  2 Tc 1.89-2.02
O (0.2341, 0.0166, 0.1714)  1 Tc 1.74
O (0.3145, 0.5259, 0.9345)  1 Tc 1.88
O (0.3955, 0.0836, 0.6470)  2 Tc 1.89-2.02
O (0.4741, 0.6855, 0.5655)  1 Tc 1.88
O (0.5259, 0.3145, 0.4345)  1 Tc 1.88
O (0.6045, 0.9164, 0.3530)  2 Tc 1.89-2.02
O (0.6855, 0.4741, 0.0655)  1 Tc 1.88
O (0.7659, 0.9834, 0.8286)  1 Tc 1.74
O (0.9164, 0.6045, 0.8530)  2 Tc 1.89-2.02
O (0.9834, 0.7659, 0.3286)  1 Tc 1.74


[7]
Entry from Alexandria via LeMat-Bulk: ZnCd2NiW after structural relaxation (PBE).

Output
ΔH_f (0 K)	1220	meV per atom
raw total energy	-15.738	eV/f.u.
total moment	0.0	μB/f.u.

Unit cell a=4.7055 b=4.7055 c=4.3701 alpha=90.00 beta=90.00 gamma=90.00
Last column: nearest neighbours and their distance in Å.
Positions (direct):
Zn (0.0000, 0.0000, 0.0000)  2 Ni 2.19
Cd (0.0000, 0.5000, 0.5000)  2 Ni 2.35
Cd (0.5000, 0.0000, 0.5000)  2 Ni 2.35
Ni (0.0000, 0.0000, 0.5000)  2 Zn 2.19, 4 Cd 2.35
W (0.5000, 0.5000, 0.0000)  8 Cd 3.21, 4 Zn 3.33


[8]
Entry from Alexandria via LeMat-Bulk: Sr3Tl8 after structural relaxation (PBE).

Output
ΔH_f (0 K)	-246	meV per atom
raw total energy	-26.683	eV/f.u.
total moment	0.0	μB/f.u.

Unit cell a=6.1626 b=6.1626 c=13.0423 alpha=103.91 beta=103.91 gamma=47.37
Last column: nearest neighbours and their distance in Å.
Positions (direct):
Sr (0.0000, 0.0000, 0.0000)  12 Tl 3.52-3.56
Sr (0.0935, 0.0935, 0.6493)  11 Tl 3.47-3.66
Sr (0.9065, 0.9065, 0.3507)  11 Tl 3.47-3.66
Tl (0.1786, 0.1786, 0.2696)  4 Sr 3.50-3.56, 8 Tl 3.55-3.60
Tl (0.2743, 0.2743, 0.9153)  8 Tl 3.46-3.62, 4 Sr 3.52-3.55
Tl (0.3555, 0.3555, 0.5402)  7 Tl 3.40-3.76, 5 Sr 3.60-3.66
Tl (0.4499, 0.4499, 0.1772)  8 Tl 3.47-3.76, 4 Sr 3.47-3.53
Tl (0.5501, 0.5501, 0.8228)  8 Tl 3.47-3.76, 4 Sr 3.47-3.53
Tl (0.6445, 0.6445, 0.4598)  7 Tl 3.40-3.76, 5 Sr 3.60-3.66
Tl (0.7257, 0.7257, 0.0847)  8 Tl 3.46-3.62, 4 Sr 3.52-3.55
Tl (0.8214, 0.8214, 0.7304)  4 Sr 3.50-3.56, 8 Tl 3.55-3.60


> What is the total moment in the second record?

0.0 μB/f.u.